Computed, not measured: a relaxed structure of NaBiRu at the PBE level of DFT.

Calculated values
Magnetization   0.0 μB per cell
DFT total energy   -4.691 eV per atom
Calculated volume   335 Å³/cell
Energy relative to the lowest polymorph listed for this composition   2.93 kcal/mol of atoms
Calculated formation energy   0.134 eV/atom

Unit cell a=11.0578 b=4.2161 c=7.3461 alpha=90.00 beta=102.30 gamma=90.00
Fractional positions:
Ru 0.2271 0.0000 0.2869
Na 0.8419 0.0000 0.4959
Ru 0.2271 0.5000 0.7869
Na 0.5752 0.0000 0.7352
Bi 0.0406 0.0000 0.8918
Na 0.5752 0.5000 0.2352
Ru 0.1798 0.0000 0.6038
Na 0.8419 0.5000 0.9959
Ru 0.1798 0.5000 0.1038
Bi 0.0406 0.5000 0.3918
Bi 0.3683 0.5000 0.4995
Bi 0.3683 0.0000 0.9995

Computed, not measured: a relaxed structure of NaBiRu at the PBE level of DFT.

Calculated values
Magnetization   0.0 μB per cell
DFT total energy   -4.819 eV per atom
Calculated volume   144 Å³/cell
Energy relative to the lowest polymorph listed for this composition   0.00 kcal/mol of atoms
Calculated formation energy   0.007 eV/atom

Unit cell a=4.4845 b=4.4845 c=7.1567 alpha=90.00 beta=90.00 gamma=90.00
Fractional positions:
Na 0.5000 0.0000 0.8148
Ru 0.5000 0.5000 0.5000
Na 0.0000 0.5000 0.1852
Bi 0.5000 0.0000 0.2863
Ru 0.0000 0.0000 0.5000
Bi 0.0000 0.5000 0.7137

Computed, not measured: a relaxed structure of NaBi2Ru at the PBE level of DFT.

Calculated values
Magnetization   0.0 μB per cell
DFT total energy   -4.324 eV per atom
Calculated volume   223 Å³/cell
Energy relative to the lowest polymorph listed for this composition   5.78 kcal/mol of atoms
Calculated formation energy   0.265 eV/atom

Unit cell a=8.4389 b=8.4389 c=6.7405 alpha=51.25 beta=51.25 gamma=90.00
Fractional positions:
Na 0.2500 0.7500 0.5000
Ru 0.7500 0.2500 0.5000
Bi 0.7017 0.1250 0.2500
Bi 0.3750 0.2983 0.7500
Bi 0.0483 0.6250 0.2500
Ru 0.0000 0.0000 0.0000
Na 0.5000 0.5000 0.0000
Bi 0.8750 0.9517 0.7500

Computed, not measured: a relaxed structure of NaBiRu at the PBE level of DFT.

Calculated values
Magnetization   0.0 μB per cell
DFT total energy   -4.783 eV per atom
Calculated volume   281 Å³/cell
Energy relative to the lowest polymorph listed for this composition   0.83 kcal/mol of atoms
Calculated formation energy   0.043 eV/atom

Unit cell a=4.4565 b=13.9043 c=4.5296 alpha=90.00 beta=90.00 gamma=90.00
Fractional positions:
Ru 0.5000 0.2499 0.7500
Ru 0.0000 0.2501 0.2500
Ru 0.0000 0.7499 0.7500
Na 0.5000 0.9053 0.7500
Na 0.0000 0.4053 0.7500
Bi 0.0000 0.8613 0.2500
Na 0.0000 0.5947 0.2500
Bi 0.5000 0.6387 0.7500
Bi 0.5000 0.3613 0.2500
Ru 0.5000 0.7501 0.2500
Na 0.5000 0.0947 0.2500
Bi 0.0000 0.1387 0.7500

Computed, not measured: a relaxed structure of Na2VBiRu at the PBE level of DFT.

Calculated values
Magnetization   1.6 μB per cell
DFT total energy   -4.064 eV per atom
Calculated volume   132 Å³/cell
Calculated formation energy   0.919 eV/atom

Unit cell a=5.5020 b=4.3536 c=5.5020 alpha=90.00 beta=90.00 gamma=90.00
Fractional positions:
Bi 0.5000 0.5000 0.5000
Na 0.0000 0.0000 0.5000
Ru 0.0000 0.5000 0.0000
V 0.0000 0.0000 0.0000
Na 0.5000 0.0000 0.0000

Computed, not measured: a relaxed structure of Na2BiS at the PBE level of DFT.

Calculated values
Magnetization   0.0 μB per cell
DFT total energy   -2.852 eV per atom
Uncorrected formation energy   -4.40 kcal/mol of atoms
Calculated volume   99 Å³/cell
Energy relative to the lowest polymorph listed for this composition   5.05 kcal/mol of atoms

Unit cell a=5.1847 b=5.1847 c=5.1847 alpha=60.00 beta=60.00 gamma=60.00
Fractional positions:
Na 0.7500 0.7500 0.7500
Bi 0.5000 0.5000 0.5000
Na 0.2500 0.2500 0.2500
S 0.0000 0.0000 0.0000

Computed, not measured: a relaxed structure of Na2BiS2 at the PBE level of DFT.

Calculated values
Magnetization   0.0 μB per cell
DFT total energy   -3.275 eV per atom
Uncorrected formation energy   -7.39 kcal/mol of atoms
Calculated volume   113 Å³/cell

Unit cell a=4.0816 b=4.0816 c=7.3914 alpha=73.97 beta=73.97 gamma=90.00
Fractional positions:
S 0.3850 0.3850 0.2300
Na 0.2500 0.7500 0.5000
Na 0.7500 0.2500 0.5000
S 0.6150 0.6150 0.7700
Bi 0.0000 0.0000 0.0000

Computed, not measured: a relaxed structure of Na2BiS2 at the PBE level of DFT.

Calculated values
Magnetization   0.0 μB per cell
DFT total energy   -3.666 eV per atom
Uncorrected formation energy   -16.40 kcal/mol of atoms
Calculated volume   227 Å³/cell

Unit cell a=7.7058 b=7.7058 c=3.8246 alpha=90.00 beta=90.00 gamma=90.00
Fractional positions:
Na 0.3671 0.1329 0.5000
S 0.1744 0.3256 0.0000
Bi 0.5000 0.5000 0.0000
S 0.8256 0.6744 0.0000
Na 0.8671 0.3671 0.5000
Na 0.1329 0.6329 0.5000
Na 0.6329 0.8671 0.5000
S 0.3256 0.8256 0.0000
Bi 0.0000 0.0000 0.0000
S 0.6744 0.1744 0.0000

Computed, not measured: a relaxed structure of Na3BiS3 at the PBE level of DFT.

Calculated values
Magnetization   0.0 μB per cell
DFT total energy   -3.671 eV per atom
Uncorrected formation energy   -18.05 kcal/mol of atoms
Calculated volume   373 Å³/cell
Energy relative to the lowest polymorph listed for this composition   1.22 kcal/mol of atoms

Unit cell a=7.2663 b=7.2663 c=7.6768 alpha=84.03 beta=84.03 gamma=110.49
Fractional positions:
Bi 0.2876 0.2876 0.1169
Na 0.3484 0.3484 0.6197
S 0.2253 0.5398 0.2942
Na 0.1989 0.8011 0.0000
Bi 0.7124 0.7124 0.8831
S 0.5398 0.2253 0.2942
S 0.4602 0.7747 0.7058
S 0.9771 0.9771 0.2400
Na 0.8319 0.1681 0.5000
Na 0.1681 0.8319 0.5000
S 0.7747 0.4602 0.7058
Na 0.8011 0.1989 0.0000
Na 0.6516 0.6516 0.3803
S 0.0229 0.0229 0.7600

Computed, not measured: a relaxed structure of NaBi3S at the PBE level of DFT.

Calculated values
Magnetization   0.8 μB per cell
DFT total energy   -2.510 eV per atom
Uncorrected formation energy   20.93 kcal/mol of atoms
Calculated volume   163 Å³/cell
Energy relative to the lowest polymorph listed for this composition   16.73 kcal/mol of atoms

Unit cell a=5.4674 b=5.4674 c=5.4674 alpha=90.00 beta=90.00 gamma=90.00
Fractional positions:
Bi 0.0000 0.5000 0.0000
S 0.5000 0.5000 0.5000
Na 0.0000 0.0000 0.0000
Bi 0.5000 0.0000 0.0000
Bi 0.0000 0.0000 0.5000

Computed, not measured: a relaxed structure of Na4BiS4 at the PBE level of DFT.

Calculated values
Magnetization   1.0 μB per cell
DFT total energy   -3.563 eV per atom
Uncorrected formation energy   -16.41 kcal/mol of atoms
Calculated volume   278 Å³/cell

Unit cell a=6.8431 b=6.8431 c=7.6664 alpha=116.51 beta=116.51 gamma=90.00
Fractional positions:
S 0.0927 0.0927 0.7488
S 0.6561 0.6561 0.7488
Na 0.2922 0.2922 0.5844
Na 0.7078 0.7078 0.4156
S 0.9073 0.3439 0.2512
Na 0.5000 0.0000 0.0000
Bi 0.0000 0.0000 0.0000
Na 0.0000 0.5000 0.0000
S 0.3439 0.9073 0.2512

Computed, not measured: a relaxed structure of Na3Bi4S8 at the PBE level of DFT.

Calculated values
Magnetization   0.1 μB per cell
DFT total energy   -4.053 eV per atom
Uncorrected formation energy   -12.75 kcal/mol of atoms
Calculated volume   376 Å³/cell

Unit cell a=8.0215 b=8.1043 c=8.1043 alpha=91.01 beta=119.42 gamma=119.42
Fractional positions:
Na 0.5000 0.0000 0.5000
S 0.0000 0.7598 0.2402
S 0.9979 0.2484 0.2484
Na 0.5000 0.5000 0.5000
Bi 0.5000 0.0000 0.0000
S 0.4700 0.2324 0.2324
S 0.0021 0.7516 0.7516
S 0.5300 0.7676 0.7676
S 0.5000 0.2452 0.7548
Bi 0.0000 0.0000 0.5000
Bi 0.0000 0.0000 0.0000
Bi 0.0000 0.5000 0.0000
S 0.5000 0.7548 0.2452
Na 0.5000 0.5000 0.0000
S 0.0000 0.2402 0.7598

Computed, not measured: a relaxed structure of NaBiS2 at the PBE level of DFT.

Calculated values
Magnetization   0.0 μB per cell
DFT total energy   -3.390 eV per atom
Uncorrected formation energy   -0.62 kcal/mol of atoms
Calculated volume   97 Å³/cell

Unit cell a=9.6818 b=9.6818 c=9.6818 alpha=20.45 beta=20.45 gamma=20.45
Fractional positions:
S 0.0962 0.0962 0.0962
Bi 0.0000 0.0000 0.0000
Na 0.5000 0.5000 0.5000
S 0.9038 0.9038 0.9038